[1]
# Cs2MgCu2Cl6 | Alexandria | PBE | optimized geometry
data_Cs2MgCu2Cl6
_space_group_name_H-M_alt 'C 1 2/m 1'
_space_group_IT_number 12
_space_group_name_Hall '-C 2y'
_cell_length_a 12.749
_cell_length_b 7.347
_cell_length_c 7.873
_cell_angle_alpha 90.00
_cell_angle_beta 122.47
_cell_angle_gamma 90.00
loop_
_atom_site_label
_atom_site_type_symbol
_atom_site_fract_x
_atom_site_fract_y
_atom_site_fract_z
Cs1 Cs 0.232 0.000 0.196
Mg1 Mg 0.000 0.000 0.500
Cu1 Cu 0.087 0.500 0.260
Cl1 Cl 0.000 0.236 0.264
Cl2 Cl 0.236 0.000 0.734
# Formation energy from raw total energies: -1.39 eV per atom
# Size of the total moment: 0.00 μB/atom

---

[2]
# ScTiMn2 | Alexandria | PBE | optimized geometry
data_ScTiMn2
_space_group_name_H-M_alt 'P 4/m m m'
_space_group_IT_number 123
_space_group_name_Hall '-P 4 2'
_cell_length_a 3.088
_cell_length_b 3.088
_cell_length_c 6.282
_cell_angle_alpha 90.00
_cell_angle_beta 90.00
_cell_angle_gamma 90.00
loop_
_atom_site_label
_atom_site_type_symbol
_atom_site_fract_x
_atom_site_fract_y
_atom_site_fract_z
Sc1 Sc 0.000 0.000 0.000
Ti1 Ti 0.000 0.000 0.500
Mn1 Mn 0.500 0.500 0.282
# Size of the total moment: 0.64 μB/atom
# Raw total energy: -8.1990 eV per atom

---

[3]
# HfZnBi2N | Alexandria | PBE | optimized geometry
data_HfZnBi2N
_space_group_name_H-M_alt 'P 4/m m m'
_space_group_IT_number 123
_space_group_name_Hall '-P 4 2'
_cell_length_a 5.162
_cell_length_b 5.162
_cell_length_c 4.199
_cell_angle_alpha 90.00
_cell_angle_beta 90.00
_cell_angle_gamma 90.00
loop_
_atom_site_label
_atom_site_type_symbol
_atom_site_fract_x
_atom_site_fract_y
_atom_site_fract_z
Hf1 Hf 0.000 0.000 0.000
Zn1 Zn 0.500 0.500 0.000
Bi1 Bi 0.000 0.500 0.500
N1 N 0.000 0.000 0.500
# Formation energy from raw total energies: 0.12 eV per atom
# Size of the total moment: 0.00 μB/atom

---

[4]
# Mg4Ga2H | Alexandria | PBE | optimized geometry
data_Mg4Ga2H
_space_group_name_H-M_alt 'I 4/m m m'
_space_group_IT_number 139
_space_group_name_Hall '-I 4 2'
_cell_length_a 4.191
_cell_length_b 4.191
_cell_length_c 14.559
_cell_angle_alpha 90.00
_cell_angle_beta 90.00
_cell_angle_gamma 90.00
loop_
_atom_site_label
_atom_site_type_symbol
_atom_site_fract_x
_atom_site_fract_y
_atom_site_fract_z
Mg1 Mg 0.000 0.000 0.174
Mg2 Mg 0.000 0.500 0.000
Ga1 Ga 0.000 0.000 0.364
H1 H 0.000 0.000 0.000
# Size of the total moment: 0.00 μB/atom
# Raw total energy: -2.2975 eV per atom

---

[5]
# ErTlHg | Alexandria | PBE | optimized geometry
data_ErTlHg
_space_group_name_H-M_alt 'I 4 m m'
_space_group_IT_number 107
_space_group_name_Hall 'I 4 -2'
_cell_length_a 3.652
_cell_length_b 3.652
_cell_length_c 11.691
_cell_angle_alpha 90.00
_cell_angle_beta 90.00
_cell_angle_gamma 90.00
loop_
_atom_site_label
_atom_site_type_symbol
_atom_site_fract_x
_atom_site_fract_y
_atom_site_fract_z
Er1 Er 0.000 0.000 0.000
Tl1 Tl 0.000 0.000 0.322
Hg1 Hg 0.000 0.000 0.653
# Energy above the lowest structure with this stoichiometry: 77 meV/atom
# Size of the total moment: 0.07 μB/atom

---

[6]
# MgBe2Zn | Alexandria | PBE | optimized geometry
data_MgBe2Zn
_space_group_name_H-M_alt 'P m m m'
_space_group_IT_number 47
_space_group_name_Hall '-P 2 2'
_cell_length_a 2.677
_cell_length_b 3.056
_cell_length_c 6.343
_cell_angle_alpha 90.00
_cell_angle_beta 90.00
_cell_angle_gamma 90.00
loop_
_atom_site_label
_atom_site_type_symbol
_atom_site_fract_x
_atom_site_fract_y
_atom_site_fract_z
Mg1 Mg 0.000 0.000 0.000
Be1 Be 0.500 0.500 0.289
Zn1 Zn 0.000 0.000 0.500
# Energy above the lowest structure with this stoichiometry: 75 meV/atom
# Size of the total moment: 0.00 μB/atom

---

Number 3 is which compound?
HfZnBi2N

---

Please write out number 3 again, unchanged.
# HfZnBi2N | Alexandria | PBE | optimized geometry
data_HfZnBi2N
_space_group_name_H-M_alt 'P 4/m m m'
_space_group_IT_number 123
_space_group_name_Hall '-P 4 2'
_cell_length_a 5.162
_cell_length_b 5.162
_cell_length_c 4.199
_cell_angle_alpha 90.00
_cell_angle_beta 90.00
_cell_angle_gamma 90.00
loop_
_atom_site_label
_atom_site_type_symbol
_atom_site_fract_x
_atom_site_fract_y
_atom_site_fract_z
Hf1 Hf 0.000 0.000 0.000
Zn1 Zn 0.500 0.500 0.000
Bi1 Bi 0.000 0.500 0.500
N1 N 0.000 0.000 0.500
# Formation energy from raw total energies: 0.12 eV per atom
# Size of the total moment: 0.00 μB/atom

---

What is the formula in the first record?
Cs2MgCu2Cl6